# 1
CaSi3: relaxed, PBE.

```
4
Lattice="4.764 0.000 0.000 2.382 4.126 0.000 2.382 1.375 3.890" Properties=species:S:1:pos:R:3 pbc="T T T"
Ca 0.000 0.000 0.000
Si 2.382 1.375 0.972
Si 4.764 2.750 1.945
Si 7.146 4.126 2.917
```

Computed properties:
**Uncorrected energy**: -16.9 eV for the cell shown
**Space group**: Fm-3m, No. 225
**E_form (uncorrected)**: 353 meV/atom

# 2
Ca2Si: relaxed, PBE.

```
3
Lattice="3.924 0.000 0.000 -1.962 3.398 0.000 0.000 0.000 7.443" Properties=species:S:1:pos:R:3 pbc="T T T"
Ca 1.962 1.133 5.549
Ca 0.000 2.265 1.894
Si 0.000 0.000 0.000
```

Computed properties:
**Uncorrected energy**: -9.6 eV for the cell shown
**Space group**: P-3m1, No. 164
**E_form (uncorrected)**: -58 meV/atom

# 3
Ca2Si: relaxed, PBE.

```
6
Lattice="-5.702 -2.290 0.587 -2.668 -4.867 2.701 -4.103 0.817 6.886" Properties=species:S:1:pos:R:3 pbc="T T T"
Ca -7.048 -2.301 7.311
Ca -3.230 -1.008 3.408
Ca -9.243 -5.332 6.766
Ca -5.425 -4.040 2.862
Si -7.938 -6.143 3.904
Si -4.535 -0.197 6.270
```

Computed properties:
**Uncorrected energy**: -20.9 eV for the cell shown
**Space group**: C2/m, No. 12
**E_form (uncorrected)**: -337 meV/atom

# 4
Ca4Si3: relaxed, PBE.

```
7
Lattice="2.831 -4.903 0.000 2.831 4.903 0.000 0.000 0.000 6.050" Properties=species:S:1:pos:R:3 pbc="T T T"
Ca 0.000 0.000 1.385
Ca 0.000 0.000 4.665
Ca 2.831 -1.634 3.025
Ca 2.831 1.634 3.025
Si 1.415 2.451 0.000
Si 2.831 0.000 0.000
Si 1.415 -2.451 0.000
```

Computed properties:
**Uncorrected energy**: -24.7 eV for the cell shown
**Space group**: P6/mmm, No. 191
**E_form (uncorrected)**: -60 meV/atom